No. 1
# Tb3Tm2Tl2, optimized geometry, DFT PBE
data_Tb3Tm2Tl2
_chemical_formula_sum 'Tb6 Tm4 Tl4'
_cell_length_a 9.335
_cell_length_b 5.396
_cell_length_c 8.579
_cell_angle_alpha 90.00
_cell_angle_beta 111.36
_cell_angle_gamma 90.00
_space_group_name_H-M_alt 'C 1 2/m 1'
_space_group_IT_number 12
_space_group_name_Hall '-C 2y'
loop_
_atom_site_label
_atom_site_type_symbol
_atom_site_fract_x
_atom_site_fract_y
_atom_site_fract_z
_atom_site_occupancy
Tb1 Tb 0.000 0.000 0.000 1
Tb2 Tb 0.155 0.000 0.466 1
Tm1 Tm 0.074 0.500 0.720 1
Tl1 Tl 0.215 0.500 0.146 1
# * distance to the lowest polymorph of the same formula: 0.0 meV per atom
# * formation energy from the elements: -18 kJ/mol of atoms
# * density of states at the Fermi level: 11.9 states/eV/cell

No. 2
# Tb2Tm3Tl, optimized geometry, DFT PBE
data_Tb2Tm3Tl
_chemical_formula_sum 'Tb8 Tm12 Tl4'
_cell_length_a 9.127
_cell_length_b 13.069
_cell_length_c 6.242
_cell_angle_alpha 90.00
_cell_angle_beta 90.00
_cell_angle_gamma 90.00
_space_group_name_H-M_alt 'C m c 21'
_space_group_IT_number 36
_space_group_name_Hall 'C 2c -2'
loop_
_atom_site_label
_atom_site_type_symbol
_atom_site_fract_x
_atom_site_fract_y
_atom_site_fract_z
_atom_site_occupancy
Tb1 Tb 0.187 0.067 0.000 1
Tm1 Tm 0.000 0.408 0.789 1
Tm2 Tm 0.191 0.190 0.522 1
Tl1 Tl 0.000 0.350 0.269 1
# * distance to the lowest polymorph of the same formula: 183.6 meV per atom
# * formation energy from the elements: 8 kJ/mol of atoms
# * density of states at the Fermi level: 35.8 states/eV/cell

No. 3
# TbTm2Tl4, optimized geometry, DFT PBE
data_TbTm2Tl4
_chemical_formula_sum 'Tb1 Tm2 Tl4'
_cell_length_a 5.925
_cell_length_b 3.476
_cell_length_c 10.383
_cell_angle_alpha 90.00
_cell_angle_beta 102.39
_cell_angle_gamma 90.00
_space_group_name_H-M_alt 'P 1 m 1'
_space_group_IT_number 6
_space_group_name_Hall 'P -2y'
loop_
_atom_site_label
_atom_site_type_symbol
_atom_site_fract_x
_atom_site_fract_y
_atom_site_fract_z
_atom_site_occupancy
Tb1 Tb 0.000 0.000 0.000 1
Tm1 Tm 0.282 0.500 0.590 1
Tm2 Tm 0.720 0.500 0.409 1
Tl1 Tl 0.161 0.500 0.279 1
Tl2 Tl 0.432 0.000 0.850 1
Tl3 Tl 0.568 0.000 0.150 1
Tl4 Tl 0.841 0.500 0.720 1
# * distance to the lowest polymorph of the same formula: 215.4 meV per atom
# * formation energy from the elements: 1 kJ/mol of atoms
# * density of states at the Fermi level: 6.5 states/eV/cell

No. 4
# Tb5Tm3Tl, optimized geometry, DFT PBE
data_Tb5Tm3Tl
_chemical_formula_sum 'Tb20 Tm12 Tl4'
_cell_length_a 13.200
_cell_length_b 7.879
_cell_length_c 12.996
_cell_angle_alpha 90.00
_cell_angle_beta 117.50
_cell_angle_gamma 90.00
_space_group_name_H-M_alt 'C 1 2/m 1'
_space_group_IT_number 12
_space_group_name_Hall '-C 2y'
loop_
_atom_site_label
_atom_site_type_symbol
_atom_site_fract_x
_atom_site_fract_y
_atom_site_fract_z
_atom_site_occupancy
Tb1 Tb 0.000 0.171 0.000 1
Tb2 Tb 0.038 0.232 0.758 1
Tb3 Tb 0.087 0.500 0.614 1
Tb4 Tb 0.243 0.500 0.973 1
Tm1 Tm 0.000 0.000 0.500 1
Tm2 Tm 0.000 0.500 0.000 1
Tm3 Tm 0.170 0.000 0.247 1
Tm4 Tm 0.214 0.500 0.450 1
Tl1 Tl 0.247 0.500 0.229 1
# * formation energy from the elements: 47 kJ/mol of atoms
# * density of states at the Fermi level: 52.6 states/eV/cell

No. 5
# Tb3Tm2Tl, optimized geometry, DFT PBE
data_Tb3Tm2Tl
_chemical_formula_sum 'Tb12 Tm8 Tl4'
_cell_length_a 17.127
_cell_length_b 6.735
_cell_length_c 6.361
_cell_angle_alpha 90.00
_cell_angle_beta 99.92
_cell_angle_gamma 90.00
_space_group_name_H-M_alt 'C 1 2/c 1'
_space_group_IT_number 15
_space_group_name_Hall '-C 2yc'
loop_
_atom_site_label
_atom_site_type_symbol
_atom_site_fract_x
_atom_site_fract_y
_atom_site_fract_z
_atom_site_occupancy
Tb1 Tb 0.000 0.218 0.250 1
Tb2 Tb 0.168 0.117 0.036 1
Tm1 Tm 0.163 0.392 0.571 1
Tl1 Tl 0.000 0.290 0.750 1
# * distance to the lowest polymorph of the same formula: 49.4 meV per atom
# * formation energy from the elements: -6 kJ/mol of atoms
# * density of states at the Fermi level: 24.7 states/eV/cell

No. 6
# Tb6TmTl5, optimized geometry, DFT PBE
data_Tb6TmTl5
_chemical_formula_sum 'Tb12 Tm2 Tl10'
_cell_length_a 10.345
_cell_length_b 11.232
_cell_length_c 6.284
_cell_angle_alpha 90.00
_cell_angle_beta 102.71
_cell_angle_gamma 90.00
_space_group_name_H-M_alt 'C 1 2/m 1'
_space_group_IT_number 12
_space_group_name_Hall '-C 2y'
loop_
_atom_site_label
_atom_site_type_symbol
_atom_site_fract_x
_atom_site_fract_y
_atom_site_fract_z
_atom_site_occupancy
Tb1 Tb 0.225 0.000 0.226 1
Tb2 Tb 0.229 0.176 0.737 1
Tm1 Tm 0.000 0.500 0.000 1
Tl1 Tl 0.000 0.000 0.500 1
Tl2 Tl 0.000 0.199 0.000 1
Tl3 Tl 0.000 0.359 0.500 1
# * distance to the lowest polymorph of the same formula: 95.6 meV per atom
# * formation energy from the elements: -18 kJ/mol of atoms
# * density of states at the Fermi level: 23.7 states/eV/cell

No. 7
# TbTm9Tl2, optimized geometry, DFT PBE
data_TbTm9Tl2
_chemical_formula_sum 'Tb1 Tm9 Tl2'
_cell_length_a 4.816
_cell_length_b 4.816
_cell_length_c 14.781
_cell_angle_alpha 90.00
_cell_angle_beta 90.00
_cell_angle_gamma 90.00
_space_group_name_H-M_alt 'P 4/m m m'
_space_group_IT_number 123
_space_group_name_Hall '-P 4 2'
loop_
_atom_site_label
_atom_site_type_symbol
_atom_site_fract_x
_atom_site_fract_y
_atom_site_fract_z
_atom_site_occupancy
Tb1 Tb 0.000 0.000 0.000 1
Tm1 Tm 0.000 0.500 0.171 1
Tm2 Tm 0.000 0.500 0.500 1
Tm3 Tm 0.500 0.500 0.000 1
Tm4 Tm 0.500 0.500 0.338 1
Tl1 Tl 0.000 0.000 0.339 1
# * formation energy from the elements: -10 kJ/mol of atoms
# * density of states at the Fermi level: 13.2 states/eV/cell

No. 8
# Tb2Tm3Tl7, optimized geometry, DFT PBE
data_Tb2Tm3Tl7
_chemical_formula_sum 'Tb4 Tm6 Tl14'
_cell_length_a 5.259
_cell_length_b 25.746
_cell_length_c 5.340
_cell_angle_alpha 90.00
_cell_angle_beta 90.00
_cell_angle_gamma 90.00
_space_group_name_H-M_alt 'C m m m'
_space_group_IT_number 65
_space_group_name_Hall '-C 2 2'
loop_
_atom_site_label
_atom_site_type_symbol
_atom_site_fract_x
_atom_site_fract_y
_atom_site_fract_z
_atom_site_occupancy
Tb1 Tb 0.000 0.153 0.000 1
Tm1 Tm 0.000 0.350 0.500 1
Tm2 Tm 0.000 0.500 0.500 1
Tl1 Tl 0.000 0.000 0.000 1
Tl2 Tl 0.000 0.081 0.500 1
Tl3 Tl 0.000 0.280 0.000 1
Tl4 Tl 0.000 0.425 0.000 1
# * formation energy from the elements: -6 kJ/mol of atoms
# * density of states at the Fermi level: 19.2 states/eV/cell

Size of the total moment (computed, μB per formula unit): 0.00 0.00 0.00 0.00 0.00 0.00 0.00 0.00